Entry 1:
An optimized crystal structure of KGe2Pt3, computed with GGA-PBE.

Results
E = -0.1905 Ha/atom
Theoretical density = 10.52 Mg/m³
Magnetization = 0.0 μB/cell
SG = No. 12

Cell lengths 7.8250, 7.8250, 8.3164 Å; angles 111.83, 111.83, 31.13 degrees
Closest atoms and distances in Å follow each position.
Sites, in units of the cell vectors:
K 0.1678 0.1678 0.0683  7 Ge 3.39-3.67, 7 Pt 3.40-3.67, 2 K 3.75
K 0.8322 0.8322 0.9317  7 Ge 3.39-3.67, 7 Pt 3.40-3.67, 2 K 3.75
Ge 0.1696 0.1696 0.6286  6 Pt 2.48-2.73
Ge 0.4798 0.4798 0.8319  4 Pt 2.47-2.53, 1 Ge 2.62
Ge 0.5202 0.5202 0.1681  4 Pt 2.47-2.53, 1 Ge 2.62
Ge 0.8304 0.8304 0.3714  6 Pt 2.48-2.73
Pt 0.0336 0.0336 0.3320  3 Ge 2.47-2.53
Pt 0.3201 0.3201 0.5734  4 Ge 2.48-2.73
Pt 0.4063 0.4063 0.3230  3 Ge 2.50-2.51
Pt 0.5937 0.5937 0.6770  3 Ge 2.50-2.51
Pt 0.6799 0.6799 0.4266  4 Ge 2.48-2.73
Pt 0.9664 0.9664 0.6680  3 Ge 2.47-2.53


Entry 2:
An optimized crystal structure of Na2In4Hg3, computed with GGA-PBE.

Results
Theoretical density = 7.80 Mg/m³
E above lowest polymorph = 0 meV/atom
Magnetization = 0.0 μB/cell
SG = No. 12

Cell lengths 6.2396, 6.2396, 9.5692 Å; angles 118.23, 118.23, 47.66 degrees
Closest atoms and distances in Å follow each position.
Sites, in units of the cell vectors:
Na 0.1651 0.1651 0.2247  5 Hg 3.14-3.23, 3 In 3.37-3.50
Na 0.8349 0.8349 0.7753  5 Hg 3.14-3.23, 3 In 3.37-3.50
In 0.1842 0.1842 0.8844  2 Hg 3.06-3.18, 4 In 3.17-3.31, 1 Na 3.37
In 0.4869 0.4869 0.6629  4 Hg 3.14-3.27, 3 In 3.28-3.31
In 0.5131 0.5131 0.3371  4 Hg 3.14-3.27, 3 In 3.28-3.31
In 0.8158 0.8158 0.1156  2 Hg 3.06-3.18, 4 In 3.17-3.31, 1 Na 3.37
Hg 0.1636 0.1636 0.5524  4 In 3.06-3.27, 3 Na 3.14-3.23, 1 Hg 3.33
Hg 0.5000 0.5000 0.0000  4 In 3.15-3.18, 4 Na 3.22
Hg 0.8364 0.8364 0.4476  4 In 3.06-3.27, 3 Na 3.14-3.23, 1 Hg 3.33


Entry 3:
An optimized crystal structure of TaTl, computed with GGA-PBE.

Results
Theoretical density = 14.06 Mg/m³
E above lowest polymorph = 197 meV/atom
Magnetization = 0.0 μB/cell
SG = No. 63

Cell lengths 5.0802, 11.4656, 3.1261 Å; angles 90.00, 90.00, 90.00 degrees
Closest atoms and distances in Å follow each position.
Sites, in units of the cell vectors:
Ta 0.0000 0.0955 0.2500  2 Ta 2.69, 4 Tl 3.01
Ta 0.0000 0.9045 0.7500  2 Ta 2.69, 4 Tl 3.01
Ta 0.5000 0.4045 0.7500  2 Ta 2.69, 4 Tl 3.01
Ta 0.5000 0.5955 0.2500  2 Ta 2.69, 4 Tl 3.01
Tl 0.0000 0.3707 0.2500  5 Ta 3.01-3.16, 4 Tl 3.13-3.35
Tl 0.0000 0.6293 0.7500  5 Ta 3.01-3.16, 4 Tl 3.13-3.35
Tl 0.5000 0.1293 0.7500  5 Ta 3.01-3.16, 4 Tl 3.13-3.35
Tl 0.5000 0.8707 0.2500  5 Ta 3.01-3.16, 4 Tl 3.13-3.35


Entry 4:
An optimized crystal structure of SmAuCl4, computed with GGA-PBE.

Results
Theoretical density = 3.77 Mg/m³
Magnetization = 0.0 μB/cell
ΔE_f (raw) = -1.54 eV per atom
SG = No. 15

Cell lengths 9.8892, 9.8892, 7.1367 Å; angles 102.69, 102.69, 132.57 degrees
Closest atoms and distances in Å follow each position.
Sites, in units of the cell vectors:
Sm 0.0600 0.9400 0.7500  6 Cl 2.72-2.73
Sm 0.9400 0.0600 0.2500  6 Cl 2.72-2.73
Au 0.3312 0.6688 0.2500  2 Cl 2.30
Au 0.6688 0.3312 0.7500  2 Cl 2.30
Cl 0.0468 0.4031 0.2755  1 Au 2.30
Cl 0.1863 0.2686 0.7021  2 Sm 2.72
Cl 0.2686 0.1863 0.2021  2 Sm 2.72
Cl 0.4031 0.0468 0.7755  1 Au 2.30
Cl 0.5969 0.9532 0.2245  1 Au 2.30
Cl 0.7314 0.8137 0.7979  2 Sm 2.72
Cl 0.8137 0.7314 0.2979  2 Sm 2.72
Cl 0.9532 0.5969 0.7245  1 Au 2.30


Entry 5:
An optimized crystal structure of Pm3PrSmTm, computed with GGA-PBE.

Results
E = -0.1721 Ha/atom
Theoretical density = 7.32 Mg/m³
Magnetization = 0.0 μB/cell
SG = No. 11

Cell lengths 8.1059, 5.1459, 10.2652 Å; angles 90.00, 108.56, 90.00 degrees
Closest atoms and distances in Å follow each position.
Sites, in units of the cell vectors:
Pm 0.1685 0.2500 0.0425  1 Tm 3.62, 3 Sm 3.62-3.63, 3 Pr 3.64-3.66, 5 Pm 3.65-3.66
Pm 0.1692 0.7500 0.7910  3 Sm 3.62-3.63, 1 Tm 3.62, 6 Pm 3.63-3.66, 2 Pr 3.66
Pm 0.1706 0.2500 0.5421  3 Tm 3.59-3.61, 1 Sm 3.60, 3 Pr 3.62-3.66, 5 Pm 3.63-3.67
Pm 0.8294 0.7500 0.4579  3 Tm 3.59-3.61, 1 Sm 3.60, 3 Pr 3.62-3.66, 5 Pm 3.63-3.67
Pm 0.8308 0.2500 0.2090  3 Sm 3.62-3.63, 1 Tm 3.62, 6 Pm 3.63-3.66, 2 Pr 3.66
Pm 0.8315 0.7500 0.9575  1 Tm 3.62, 3 Sm 3.62-3.63, 3 Pr 3.64-3.66, 5 Pm 3.65-3.66
Pr 0.1692 0.7500 0.2932  3 Tm 3.59-3.62, 1 Sm 3.62, 8 Pm 3.62-3.66
Pr 0.8308 0.2500 0.7068  3 Tm 3.59-3.62, 1 Sm 3.62, 8 Pm 3.62-3.66
Sm 0.4997 0.2500 0.8739  7 Pm 3.60-3.63, 1 Pr 3.62, 2 Tm 3.64, 2 Sm 3.65
Sm 0.5003 0.7500 0.1261  7 Pm 3.60-3.63, 1 Pr 3.62, 2 Tm 3.64, 2 Sm 3.65
Tm 0.4998 0.2500 0.3762  5 Pm 3.59-3.62, 3 Pr 3.59-3.62, 2 Tm 3.62, 2 Sm 3.64
Tm 0.5002 0.7500 0.6238  5 Pm 3.59-3.62, 3 Pr 3.59-3.62, 2 Tm 3.62, 2 Sm 3.64


What did the fourth record say?
An optimized crystal structure of SmAuCl4, computed with GGA-PBE.

Results
Theoretical density = 3.77 Mg/m³
Magnetization = 0.0 μB/cell
ΔE_f (raw) = -1.54 eV per atom
SG = No. 15

Cell lengths 9.8892, 9.8892, 7.1367 Å; angles 102.69, 102.69, 132.57 degrees
Closest atoms and distances in Å follow each position.
Sites, in units of the cell vectors:
Sm 0.0600 0.9400 0.7500  6 Cl 2.72-2.73
Sm 0.9400 0.0600 0.2500  6 Cl 2.72-2.73
Au 0.3312 0.6688 0.2500  2 Cl 2.30
Au 0.6688 0.3312 0.7500  2 Cl 2.30
Cl 0.0468 0.4031 0.2755  1 Au 2.30
Cl 0.1863 0.2686 0.7021  2 Sm 2.72
Cl 0.2686 0.1863 0.2021  2 Sm 2.72
Cl 0.4031 0.0468 0.7755  1 Au 2.30
Cl 0.5969 0.9532 0.2245  1 Au 2.30
Cl 0.7314 0.8137 0.7979  2 Sm 2.72
Cl 0.8137 0.7314 0.2979  2 Sm 2.72
Cl 0.9532 0.5969 0.7245  1 Au 2.30


- Which value of theoretical density does entry 1 give?
  10.52 Mg/m³